A relaxed structure of Ta3Mo2, computed with GGA-PBE.

Offset from the most stable computed form in meV/atom: 88
Spin magnetization in μB per formula unit: 0.0
DFT formation energy in eV/atom: -0.088

POSCAR file:
```
Ta3Mo2
1.0
-2.738 0.215 6.414
1.229 -2.120 6.533
1.360 2.355 0.863
Mo Ta
2 3
direct
0.999 0.999 0.007
0.401 0.401 0.393
0.804 0.804 0.789
0.200 0.200 0.200
0.596 0.596 0.611
```


A relaxed structure of TaMo4, computed with GGA-PBE.

Offset from the most stable computed form in meV/atom: 47
Spin magnetization in μB per formula unit: 0.0
DFT formation energy in eV/atom: -0.078

POSCAR file:
```
TaMo4
1.0
2.776 0.000 0.001
-4.581 12.962 -0.005
-0.944 -1.314 2.256
Mo Ta
4 1
direct
0.004 0.201 0.004
0.012 0.005 0.012
0.988 0.595 0.988
0.996 0.399 0.996
0.000 0.800 0.000
```


A relaxed structure of Ta2Mo, computed with GGA-PBE.

Offset from the most stable computed form in meV/atom: 450
Spin magnetization in μB per formula unit: 0.0
DFT formation energy in eV/atom: 0.294

POSCAR file:
```
Ta2Mo
1.0
-3.699 1.969 2.344
-0.507 -1.359 -4.577
-0.776 -2.412 0.802
Mo Ta
1 2
direct
0.000 0.000 0.500
0.333 0.667 0.000
0.667 0.333 0.000
```


A relaxed structure of Ta2Mo, computed with GGA-PBE.

Offset from the most stable computed form in meV/atom: 52
Spin magnetization in μB per formula unit: 0.0
DFT formation energy in eV/atom: -0.104

POSCAR file:
```
Ta2Mo
1.0
-5.158 5.097 1.340
2.001 -5.372 -4.638
-1.667 -2.154 1.775
Ta Mo
4 2
direct
0.327 0.673 0.000
0.840 0.160 0.500
0.669 0.331 0.000
0.498 0.502 0.500
0.163 0.837 0.500
0.004 0.996 0.000
```


A relaxed structure of Ta3Mo2, computed with GGA-PBE.

Offset from the most stable computed form in meV/atom: 522
Spin magnetization in μB per formula unit: 0.0
DFT formation energy in eV/atom: 0.345

POSCAR file:
```
Ta3Mo2
1.0
2.241 -3.882 0.000
2.241 3.882 0.000
0.000 0.000 5.482
Ta Mo
3 2
direct
0.333 0.667 0.345
0.000 0.000 0.000
0.667 0.333 0.655
0.667 0.333 0.165
0.333 0.667 0.835
```


A relaxed structure of Ta3Mo2, computed with GGA-PBE.

Offset from the most stable computed form in meV/atom: 380
Spin magnetization in μB per formula unit: 0.0
DFT formation energy in eV/atom: 0.203

POSCAR file:
```
Ta3Mo2
1.0
10.575 -1.555 -0.008
10.575 1.555 -0.008
10.348 0.000 2.675
Ta Mo
3 2
direct
0.202 0.202 0.202
0.798 0.798 0.798
0.000 0.000 0.000
0.399 0.399 0.399
0.601 0.601 0.601
```


A relaxed structure of Ta3Mo, computed with GGA-PBE.

Offset from the most stable computed form in meV/atom: 2358
Spin magnetization in μB per formula unit: 0.8
DFT formation energy in eV/atom: 2.244

POSCAR file:
```
Ta3Mo
1.0
-0.604 4.830 -0.377
-0.969 -0.493 -4.760
-4.747 -0.514 1.020
Ta Mo
3 1
direct
0.000 0.000 0.500
0.000 0.500 0.000
0.500 0.000 0.000
0.000 0.000 0.000
```


A relaxed structure of TaMo7, computed with GGA-PBE.

Offset from the most stable computed form in meV/atom: 31
Spin magnetization in μB per formula unit: 0.0
DFT formation energy in eV/atom: -0.076

POSCAR file:
```
TaMo7
1.0
3.181 0.000 0.000
0.000 4.500 0.000
0.000 0.000 8.994
Mo Ta
7 1
direct
0.000 0.000 0.002
0.000 0.000 0.498
0.500 0.000 0.250
0.500 0.500 0.495
0.000 0.500 0.250
0.500 0.500 0.005
0.500 0.000 0.750
0.000 0.500 0.750
```


A relaxed structure of Ta3Mo2, computed with GGA-PBE.

Offset from the most stable computed form in meV/atom: 643
Spin magnetization in μB per formula unit: 0.0
DFT formation energy in eV/atom: 0.467

POSCAR file:
```
Ta3Mo2
1.0
6.952 0.000 0.000
0.000 7.228 0.000
0.000 0.000 7.298
Ta Mo
12 8
direct
0.001 0.399 0.675
0.685 0.250 0.500
0.315 0.750 0.500
0.501 0.101 0.175
0.499 0.601 0.175
0.185 0.250 0.000
0.999 0.899 0.675
0.815 0.750 0.000
0.501 0.399 0.825
0.999 0.601 0.325
0.499 0.899 0.825
0.001 0.101 0.325
0.688 0.891 0.407
0.312 0.109 0.593
0.688 0.609 0.593
0.812 0.109 0.907
0.188 0.609 0.907
0.812 0.391 0.093
0.188 0.891 0.093
0.312 0.391 0.407
```


A relaxed structure of Ta2TcMo, computed with GGA-PBE.

Offset from the most stable computed form in meV/atom: 164
Spin magnetization in μB per formula unit: 0.0
DFT formation energy in eV/atom: -0.188

POSCAR file:
```
Ta2TcMo
1.0
5.267 -0.005 0.002
2.246 4.764 -0.002
-3.226 -3.217 2.643
Ta Mo Tc
2 1 1
direct
0.502 0.502 0.000
0.998 0.998 0.000
0.250 0.750 0.500
0.750 0.250 0.500
```


A relaxed structure of Ta5Tc4Mo, computed with GGA-PBE.

Spin magnetization in μB per formula unit: 0.0
DFT formation energy in eV/atom: -0.434

POSCAR file:
```
Ta5Tc4Mo
1.0
3.194 0.000 0.000
0.000 3.194 0.000
0.000 0.000 16.017
Tc Mo Ta
4 1 5
direct
0.000 0.000 0.599
0.000 0.000 0.401
0.000 0.000 0.202
0.000 0.000 0.798
0.000 0.000 0.000
0.500 0.500 0.300
0.500 0.500 0.101
0.500 0.500 0.500
0.500 0.500 0.700
0.500 0.500 0.899
```


A relaxed structure of TaTc2Mo2, computed with GGA-PBE.

Spin magnetization in μB per formula unit: 0.0
DFT formation energy in eV/atom: 0.258

POSCAR file:
```
TaTc2Mo2
1.0
-3.773 5.490 3.352
-3.182 -4.970 4.559
2.205 0.346 1.916
Mo Tc Ta
4 4 2
direct
0.646 0.146 0.000
0.854 0.646 0.000
0.146 0.354 0.000
0.354 0.854 0.000
0.655 0.845 0.500
0.345 0.155 0.500
0.845 0.345 0.500
0.155 0.655 0.500
0.500 0.500 0.000
0.000 0.000 0.000
```